No. 1
VASP calculation (PBE-GGA) on a geometry-optimized ZrCrB structure.

Values from the calculation:
Total DFT energy (no corrections) ... -8.632 eV per atom
Symmetry ... Cmcm, No. 63
Distance to the lowest polymorph of the same formula ... 9.0 kJ per mole of atoms

Cell: 4.9286 4.9286 5.0922 Å, 90.00 90.00 141.36°
Element x y z (fractional)
Zr: 0.1970 0.8030 0.7500
Zr: 0.8030 0.1970 0.2500
Cr: 0.5000 0.5000 0.0000
Cr: 0.5000 0.5000 0.5000
B: 0.0891 0.9109 0.2500
B: 0.9109 0.0891 0.7500



No. 2
VASP calculation (PBE-GGA) on a geometry-optimized Rb3CdPb structure.

Values from the calculation:
Total DFT energy (no corrections) ... -1.353 eV per atom
Symmetry ... Pm-3m, No. 221
Distance to the lowest polymorph of the same formula ... 20.7 kJ per mole of atoms

Cell: 7.2138 7.2138 7.2138 Å, 90.00 90.00 90.00°
Element x y z (fractional)
Rb: 0.0000 0.0000 0.5000
Rb: 0.0000 0.5000 0.0000
Rb: 0.5000 0.0000 0.0000
Cd: 0.5000 0.5000 0.5000
Pb: 0.0000 0.0000 0.0000